Entry from Alexandria: a relaxed Al14GaSi crystal (PBE-GGA).

Cell: 5.667 5.667 9.309 Å, 90.00 90.00 118.65°
Fractional positions:
Al1 0.874 0.624 0.251
Al2 0.375 0.625 0.253
Al3 0.375 0.625 0.747
Al4 0.042 0.455 0.500
Al5 0.376 0.126 0.749
Al6 0.207 0.293 0.000
Si1 0.544 0.456 0.500
Al7 0.545 0.958 0.500
Al8 0.874 0.624 0.749
Al9 0.875 0.125 0.249
Al10 0.875 0.125 0.751
Al11 0.207 0.793 0.000
Al12 0.707 0.793 0.000
Al13 0.376 0.126 0.251
Al14 0.707 0.293 0.000
Ga1 0.042 0.958 0.500

E_tot: -60.12 eV per cell
formation energy from raw total energies: 0.045 eV per atom
magnetization: 0.0 Bohr magnetons per cell